The following is a GGA-PBE calculation of a relaxed structure of RbHf2Tl, from Alexandria via LeMat-Bulk.

Geometry as CIF:
```
data_RbHf2Tl
_chemical_formula_sum 'Rb2 Hf4 Tl2'
_cell_length_a 11.7437
_cell_length_b 11.7437
_cell_length_c 11.7437
_cell_angle_alpha 157.68
_cell_angle_beta 157.68
_cell_angle_gamma 31.77
_space_group_name_H-M_alt 'P 1'
_space_group_IT_number 1
_space_group_name_Hall 'P 1'
loop_
_atom_site_label
_atom_site_fract_x
_atom_site_fract_y
_atom_site_fract_z
Rb1 0.0000 0.0000 0.0000
Rb2 0.7500 0.2500 0.5000
Hf1 0.1581 0.6250 0.0331
Hf2 0.3750 0.4081 0.5331
Hf3 0.5919 0.1250 0.9669
Hf4 0.8750 0.8419 0.4669
Tl1 0.2500 0.7500 0.5000
Tl2 0.5000 0.5000 0.0000
```

Results
The space-group type is No. 122. The density comes out at 9.2 g/cm3. The calculation puts the energy of formation at 1.073 eV per atom. The value obtained for the spin magnetization is 0.00 μB per cell. The value obtained for the excess energy over the best structure of this formula in the dataset is 0.0 meV per atom.

***

The following is a GGA-PBE calculation of a relaxed structure of NbCuNiHg, from Alexandria via LeMat-Bulk.

Geometry as CIF:
```
data_NbCuNiHg
_chemical_formula_sum 'Nb1 Cu1 Ni1 Hg1'
_cell_length_a 4.4096
_cell_length_b 4.4096
_cell_length_c 4.4096
_cell_angle_alpha 60.00
_cell_angle_beta 60.00
_cell_angle_gamma 60.00
_space_group_name_H-M_alt 'P 1'
_space_group_IT_number 1
_space_group_name_Hall 'P 1'
loop_
_atom_site_label
_atom_site_fract_x
_atom_site_fract_y
_atom_site_fract_z
Nb1 0.0000 0.0000 0.0000
Cu1 0.7500 0.7500 0.7500
Ni1 0.2500 0.2500 0.2500
Hg1 0.5000 0.5000 0.5000
```

Results
The space-group type is No. 216. The density comes out at 11.4 g/cm3. The calculation puts the energy of formation at 0.092 eV per atom. The value obtained for the spin magnetization is 0.00 μB per cell.

***

The following is a GGA-PBE calculation of a relaxed structure of Nd3Ga9Rh2, from Alexandria via LeMat-Bulk.

Geometry as CIF:
```
data_Nd3Ga9Rh2
_chemical_formula_sum 'Nd3 Ga9 Rh2'
_cell_length_a 8.2738
_cell_length_b 8.2738
_cell_length_c 8.2738
_cell_angle_alpha 149.73
_cell_angle_beta 109.02
_cell_angle_gamma 79.07
_space_group_name_H-M_alt 'P 1'
_space_group_IT_number 1
_space_group_name_Hall 'P 1'
loop_
_atom_site_label
_atom_site_fract_x
_atom_site_fract_y
_atom_site_fract_z
Nd1 0.0000 0.0000 0.0000
Nd2 0.3008 0.3008 0.0000
Nd3 0.6992 0.6992 0.0000
Ga1 0.0173 0.6553 0.3620
Ga2 0.1485 0.8677 0.2808
Ga3 0.2933 0.6553 0.6380
Ga4 0.4131 0.1323 0.2808
Ga5 0.5000 0.0000 0.5000
Ga6 0.5869 0.8677 0.7192
Ga7 0.7067 0.3447 0.3620
Ga8 0.8515 0.1323 0.7192
Ga9 0.9827 0.3447 0.6380
Rh1 0.3174 0.5000 0.8174
Rh2 0.6826 0.5000 0.1826
```

Results
The space-group type is No. 71. The density comes out at 7.9 g/cm3. The calculation puts the energy of formation at -0.671 eV per atom. The value obtained for the spin magnetization is 0.00 μB per cell.